The following is a PBE-GGA calculation of a relaxed structure of TaTc3Ge, from Alexandria via LeMat-Bulk.

Results
The value obtained for the volume is 17.89 Å³/atom. The formation energy is 5.08 eV/f.u. Its excess energy over the best structure of this formula in the dataset is 0 meV per atom. The density of states at the Fermi level comes out at 7.33 states/eV per cell. The total energy comes out at -0.62459 Ry/atom. The crystal system is cubic. Its magnetization is 0.00 μB per formula unit.

a = 4.473 Å, b = 4.473 Å, c = 4.473 Å
α = 90.00°, β = 90.00°, γ = 90.00°
Space group Pm-3m (No. 221)
Asymmetric unit:
1 Ta 0.000 0.000 0.000
2 Tc 0.000 0.500 0.500
3 Ge 0.500 0.500 0.500